## KInW2 (SCAN)

Data for KInW2 at its PBEsol-relaxed geometry.

Computed properties:
The calculation puts the mass density at 9.5 Mg/m³. As for the space-group type: Pm (6). Its formation energy from the elements is 0.728 eV/atom. Its magnetic moment is 0.001 μB per formula unit.

Cell: 2.7950 3.9525 8.3169 Å, 90.00 95.26 90.00°
Element x y z (fractional)
K  0.0000  0.0000  0.0000
In  0.4132  0.5000  0.6802
W  0.4567  0.5000  0.3193
W  0.8331  0.0000  0.4758

## LiCa2ZrCu (SCAN)

Data for LiCa2ZrCu at its PBEsol-relaxed geometry.

Computed properties:
The calculation puts the mass density at 2.6 Mg/m³. As for the space-group type: P4/mmm (123). Its formation energy from the elements is 1.333 eV/atom. Its magnetic moment is 4.387 μB per formula unit.

Cell: 5.6690 5.6690 4.8437 Å, 90.00 90.00 90.00°
Element x y z (fractional)
Li  0.0000  0.0000  0.0000
Ca  0.0000  0.5000  0.5000
Ca  0.5000  0.0000  0.5000
Zr  0.0000  0.0000  0.5000
Cu  0.5000  0.5000  0.0000

## BaTcW (SCAN)

Data for BaTcW at its PBEsol-relaxed geometry.

Computed properties:
The calculation puts the mass density at 10.6 Mg/m³. As for the space-group type: F-43m (216). Its formation energy from the elements is 3.040 eV/atom. Its magnetic moment is 0.112 μB per formula unit. The calculation puts the relative energy among the computed polymorphs at 2188.3 meV per atom.

Cell: 4.5239 4.5239 4.5239 Å, 60.00 60.00 60.00°
Element x y z (fractional)
Ba  0.0000  0.0000  0.0000
Tc  0.7500  0.7500  0.7500
W  0.2500  0.2500  0.2500

## NbNiTeI2 (SCAN)

Data for NbNiTeI2 at its PBEsol-relaxed geometry.

Computed properties:
The calculation puts the mass density at 5.6 Mg/m³. For the raw formation energy, the calculation gives 3.48 eV per formula unit. As for the space-group type: P4/mmm (123). Its magnetic moment is 1.006 μB per formula unit.

Cell: 5.4476 5.4476 5.3676 Å, 90.00 90.00 90.00°
Element x y z (fractional)
Nb  0.0000  0.0000  0.0000
Ni  0.5000  0.5000  0.5000
Te  0.0000  0.0000  0.5000
I  0.0000  0.5000  0.0000
I  0.5000  0.0000  0.0000

## YFe2Tc (SCAN)

Data for YFe2Tc at its PBEsol-relaxed geometry.

Computed properties:
The calculation puts the mass density at 8.4 Mg/m³. As for the space-group type: I-4m2 (119). Its formation energy from the elements is 0.493 eV/atom. Its magnetic moment is 5.819 μB per formula unit. The calculation puts the relative energy among the computed polymorphs at 68.4 meV per atom.

Cell: 4.7905 4.7905 4.7905 Å, 132.18 132.18 69.94°
Element x y z (fractional)
Y  0.0000  0.0000  0.0000
Fe  0.5000  0.5000  0.0000
Fe  0.7500  0.2500  0.5000
Tc  0.2500  0.7500  0.5000

## TaPtPb (SCAN)

Data for TaPtPb at its PBEsol-relaxed geometry.

Computed properties:
The calculation puts the mass density at 15.1 Mg/m³. As for the space-group type: F-43m (216). Its formation energy from the elements is 0.781 eV/atom. Its magnetic moment is 1.147 μB per formula unit.

Cell: 4.4977 4.4977 4.4977 Å, 60.00 60.00 60.00°
Element x y z (fractional)
Ta  0.0000  0.0000  0.0000
Pt  0.5000  0.5000  0.5000
Pb  0.2500  0.2500  0.2500

## SnPbIN2 (SCAN)

Data for SnPbIN2 at its PBEsol-relaxed geometry.

Computed properties:
The calculation puts the mass density at 6.7 Mg/m³. For the raw formation energy, the calculation gives 7.74 eV per formula unit. As for the space-group type: P4/mmm (123). Its magnetic moment is 1.300 μB per formula unit.

Cell: 4.4201 4.4201 6.0796 Å, 90.00 90.00 90.00°
Element x y z (fractional)
Sn  0.0000  0.0000  0.0000
Pb  0.5000  0.5000  0.5000
I  0.5000  0.5000  0.0000
N  0.0000  0.5000  0.5000
N  0.5000  0.0000  0.5000

## Ni2SbRu (SCAN)

Data for Ni2SbRu at its PBEsol-relaxed geometry.

Computed properties:
The calculation puts the mass density at 10.4 Mg/m³. For the raw formation energy, the calculation gives 0.82 eV per formula unit. As for the space-group type: C2/m (12). Its magnetic moment is 0.004 μB per formula unit.

Cell: 4.5550 4.5550 4.4142 Å, 103.08 103.08 37.86°
Element x y z (fractional)
Ni  0.2501  0.2501  0.2354
Ni  0.7499  0.7499  0.7646
Sb  0.0000  0.0000  0.5000
Ru  0.5000  0.5000  0.0000

## SrCr2Cu (SCAN)

Data for SrCr2Cu at its PBEsol-relaxed geometry.

Computed properties:
The calculation puts the mass density at 5.6 Mg/m³. As for the space-group type: C2/m (12). Its formation energy from the elements is 0.842 eV/atom. Its magnetic moment is 8.365 μB per formula unit. The calculation puts the relative energy among the computed polymorphs at 63.5 meV per atom.

Cell: 5.7297 5.7297 3.0143 Å, 103.94 103.94 119.37°
Element x y z (fractional)
Sr  0.0000  0.0000  0.0000
Cr  0.0000  0.5000  0.5000
Cr  0.5000  0.0000  0.5000
Cu  0.5000  0.5000  0.0000

## Ba2La2O5 (SCAN)

Data for Ba2La2O5 at its PBEsol-relaxed geometry.

Computed properties:
The calculation puts the mass density at 5.7 Mg/m³. For the raw formation energy, the calculation gives -29.11 eV per formula unit. As for the space-group type: Pnma (62). Its magnetic moment is 0.000 μB per formula unit.

Cell: 6.5329 17.1270 6.5472 Å, 90.00 90.00 90.00°
Element x y z (fractional)
Ba  0.0427  0.1113  0.0154
Ba  0.0427  0.3887  0.0154
Ba  0.4573  0.6113  0.5154
Ba  0.4573  0.8887  0.5154
Ba  0.5427  0.1113  0.4846
Ba  0.5427  0.3887  0.4846
Ba  0.9573  0.6113  0.9846
Ba  0.9573  0.8887  0.9846
La  0.0000  0.0000  0.5000
La  0.0000  0.5000  0.5000
La  0.0581  0.2500  0.5470
La  0.4419  0.7500  0.0470
La  0.5000  0.0000  0.0000
La  0.5000  0.5000  0.0000
La  0.5581  0.2500  0.9530
La  0.9419  0.7500  0.4530
O  0.0499  0.6393  0.5985
O  0.0499  0.8607  0.5985
O  0.0929  0.7500  0.1356
O  0.2071  0.5250  0.2076
O  0.2071  0.9750  0.2076
O  0.2929  0.0250  0.7076
O  0.2929  0.4750  0.7076
O  0.4071  0.2500  0.6356
O  0.4501  0.1393  0.0985
O  0.4501  0.3607  0.0985
O  0.5499  0.6393  0.9015
O  0.5499  0.8607  0.9015
O  0.5929  0.7500  0.3644
O  0.7071  0.5250  0.2924
O  0.7071  0.9750  0.2924
O  0.7929  0.0250  0.7924
O  0.7929  0.4750  0.7924
O  0.9071  0.2500  0.8644
O  0.9501  0.1393  0.4015
O  0.9501  0.3607  0.4015

## Ca7Sn6 (SCAN)

Data for Ca7Sn6 at its PBEsol-relaxed geometry.

Computed properties:
The calculation puts the mass density at 4.3 Mg/m³. As for the space-group type: Pnma (62). Its formation energy from the elements is -0.725 eV/atom. Its magnetic moment is 0.000 μB per formula unit.

Cell: 7.8161 23.4735 8.3381 Å, 90.00 90.00 90.00°
Element x y z (fractional)
Ca  0.0036  0.1634  0.1749
Ca  0.0036  0.3366  0.1749
Ca  0.1664  0.7500  0.4949
Ca  0.1707  0.0221  0.3265
Ca  0.1714  0.1476  0.6785
Ca  0.1714  0.3524  0.6785
Ca  0.1707  0.4779  0.3265
Ca  0.3293  0.5221  0.8265
Ca  0.3286  0.6476  0.1785
Ca  0.3286  0.8524  0.1785
Ca  0.3293  0.9779  0.8265
Ca  0.3336  0.2500  0.9949
Ca  0.4964  0.6634  0.6749
Ca  0.4964  0.8366  0.6749
Ca  0.5036  0.1634  0.3251
Ca  0.5036  0.3366  0.3251
Ca  0.6664  0.7500  0.0051
Ca  0.6707  0.0221  0.1735
Ca  0.6714  0.1476  0.8215
Ca  0.6714  0.3524  0.8215
Ca  0.6707  0.4779  0.1735
Ca  0.8293  0.5221  0.6735
Ca  0.8286  0.6476  0.3215
Ca  0.8286  0.8524  0.3215
Ca  0.8293  0.9779  0.6735
Ca  0.8336  0.2500  0.5051
Ca  0.9964  0.6634  0.8251
Ca  0.9964  0.8366  0.8251
Sn  0.9998  0.0582  0.9425
Sn  0.9998  0.4418  0.9425
Sn  0.0002  0.5582  0.0575
Sn  0.0002  0.9418  0.0575
Sn  0.0416  0.7500  0.1360
Sn  0.1590  0.5994  0.5237
Sn  0.1590  0.9006  0.5237
Sn  0.2072  0.2500  0.3871
Sn  0.2928  0.7500  0.8871
Sn  0.3410  0.0993  0.0237
Sn  0.3410  0.4006  0.0237
Sn  0.4584  0.2500  0.6360
Sn  0.4998  0.0582  0.5575
Sn  0.4998  0.4418  0.5575
Sn  0.5002  0.5582  0.4425
Sn  0.5002  0.9418  0.4425
Sn  0.5416  0.7500  0.3640
Sn  0.6590  0.5994  0.9763
Sn  0.6590  0.9006  0.9763
Sn  0.7072  0.2500  0.1129
Sn  0.7928  0.7500  0.6129
Sn  0.8410  0.0993  0.4763
Sn  0.8410  0.4006  0.4763
Sn  0.9584  0.2500  0.8640

## Rb2NaCeF6 (SCAN)

Data for Rb2NaCeF6 at its PBEsol-relaxed geometry.

Computed properties:
The calculation puts the mass density at 4.1 Mg/m³. For the raw formation energy, the calculation gives -34.49 eV per formula unit. As for the space-group type: Fm-3m (225). Its magnetic moment is 1.000 μB per formula unit.

Cell: 6.3790 6.3790 6.3790 Å, 60.00 60.00 60.00°
Element x y z (fractional)
Rb  0.2500  0.2500  0.2500
Rb  0.7500  0.7500  0.7500
Na  0.0000  0.0000  0.0000
Ce  0.5000  0.5000  0.5000
F  0.2496  0.2496  0.7504
F  0.2496  0.7504  0.2496
F  0.2496  0.7504  0.7504
F  0.7504  0.2496  0.2496
F  0.7504  0.2496  0.7504
F  0.7504  0.7504  0.2496

Q: Look up the magnetic moment of the twelfth one.
A: 1.000 μB per formula unit

Q: Which of these has the highest mass density?
A: TaPtPb

Q: Which of these has the lowest mass density?
A: LiCa2ZrCu